1.
This record from Alexandria describes LaTcIr2 after structural relaxation. The functional is PBE-GGA.

E	-0.30171	Ha/atom
E above lowest polymorph	139	meV/atom
Fermi-level density of states	8.0	states/eV per cell
total moment	0.3	μB per formula unit

```
8
Lattice="5.900 0.000 0.000 0.000 8.121 0.000 0.000 0.000 2.948" Properties=species:S:1:pos:R:3 pbc="T T T"
La 0.000 0.000 0.000
La 2.950 4.060 0.000
Tc 0.000 4.060 0.000
Tc 2.950 0.000 0.000
Ir 1.475 2.030 1.474
Ir 1.475 6.091 1.474
Ir 4.425 2.030 1.474
Ir 4.425 6.091 1.474
```

2.
This record from Alexandria describes LaTc2Ir after structural relaxation. The functional is PBE-GGA.

E	-0.30488	Ha/atom
E above lowest polymorph	260	meV/atom
Fermi-level density of states	5.9	states/eV per cell
total moment	0.0	μB per formula unit

```
4
Lattice="2.827 0.000 0.000 0.000 2.827 0.000 0.000 0.000 8.922" Properties=species:S:1:pos:R:3 pbc="T T T"
La 0.000 0.000 0.000
Tc 1.413 1.413 2.613
Tc 1.413 1.413 6.310
Ir 0.000 0.000 4.461
```

3.
This record from Alexandria describes LaTcIr2 after structural relaxation. The functional is PBE-GGA.

E	-0.29563	Ha/atom
E above lowest polymorph	304	meV/atom
Fermi-level density of states	22.2	states/eV per cell
total moment	0.0	μB per formula unit

```
16
Lattice="4.900 0.000 0.000 0.000 4.900 0.000 0.000 0.000 16.478" Properties=species:S:1:pos:R:3 pbc="T T T"
La 0.000 0.000 0.000
La 0.000 2.450 4.119
La 2.450 0.000 12.358
La 2.450 2.450 8.239
Tc 0.000 0.000 8.239
Tc 0.000 2.450 12.358
Tc 2.450 0.000 4.119
Tc 2.450 2.450 0.000
Ir 0.380 1.225 10.299
Ir 1.225 2.830 14.418
Ir 1.225 4.520 6.179
Ir 2.070 1.225 2.060
Ir 2.830 3.675 2.060
Ir 3.675 0.380 6.179
Ir 3.675 2.070 14.418
Ir 4.520 3.675 10.299
```